Entry i
# AcPr2Ho3

A geometry-optimized AcPr2Ho3 structure (PBE-GGA, the Alexandria database).

Unit cell a=6.6003 b=6.6003 c=11.5824 alpha=90.00 beta=90.00 gamma=120.00
With the nearest neighbours (Å) after each atom.
Space group P-3m1 (No. 164)
Symmetry-distinct sites (fractional):
1 Ac 0.3333 0.6667 0.4546 (multiplicity 2)  3 Pr 3.85, 3 Ac 3.95, 9 Ho 3.96-4.10
2 Pr 0.0000 0.0000 0.0000 (multiplicity 1)  6 Ho 3.42
3 Pr 0.0000 0.0000 0.5000 (multiplicity 1)  6 Ho 3.52, 6 Ac 3.85
4 Pr 0.3333 0.6667 0.0416 (multiplicity 2)  9 Ho 3.83-4.06, 6 Pr 3.84-3.93
5 Ho 0.1673 0.3346 0.7547 (multiplicity 6)  4 Ho 3.29-3.31, 2 Pr 3.42-3.52

Summary:
- spin magnetization (μB per cell) = 0.00

Entry ii
# AcPr2Ho3

A geometry-optimized AcPr2Ho3 structure (PBE-GGA, the Alexandria database).

Unit cell a=11.4806 b=11.0559 c=6.7222 alpha=90.00 beta=90.00 gamma=90.00
With the nearest neighbours (Å) after each atom.
Space group Cmcm (No. 63)
Symmetry-distinct sites (fractional):
1 Ac 0.0000 0.1151 0.2500 (multiplicity 4)  5 Ho 3.54-3.61
2 Pr 0.1483 0.2511 0.7500 (multiplicity 8)  1 Pr 3.41, 4 Ho 3.41-3.47
3 Ho 0.0000 0.4356 0.2500 (multiplicity 4)  6 Ho 3.35-3.65, 1 Ac 3.54
4 Ho 0.2449 0.5000 0.0000 (multiplicity 8)  4 Ho 3.35-3.36, 4 Pr 3.41-3.47, 2 Ac 3.61

Summary:
- spin magnetization (μB per cell) = 0.00

Energetically preferred structure: entry ii | next structure: +0.036 eV/atom

Entry i
# AcPr6Ho3

A geometry-optimized AcPr6Ho3 structure (PBE-GGA, the Alexandria database).

Unit cell a=11.5383 b=13.3743 c=9.5226 alpha=90.00 beta=90.00 gamma=90.00
With the nearest neighbours (Å) after each atom.
Space group Cmc2_1 (No. 36)
Symmetry-distinct sites (fractional):
1 Ac 0.0000 0.2467 0.0000 (multiplicity 4)  3 Ho 3.76-4.00, 7 Pr 3.90-4.19
2 Pr 0.0000 0.2670 0.4546 (multiplicity 4)  3 Ho 3.24-3.45, 4 Pr 3.44-3.58
3 Pr 0.0000 0.4863 0.7056 (multiplicity 4)  4 Ho 3.55-3.71, 3 Pr 3.65-3.78
4 Pr 0.1925 0.1104 0.6219 (multiplicity 8)  3 Ho 3.17-3.54, 3 Pr 3.44-3.50
5 Pr 0.2376 0.1599 0.2652 (multiplicity 8)  3 Ho 3.37-3.63, 4 Pr 3.46-3.65
6 Ho 0.0000 0.0169 0.3639 (multiplicity 4)  7 Pr 3.45-3.62, 2 Ho 3.58, 1 Ac 3.76
7 Ho 0.2171 0.4193 0.4341 (multiplicity 8)  5 Pr 3.17-3.55

Summary:
- spin magnetization (μB per cell) = 0.00

Entry ii
# AcPr6Ho3

A geometry-optimized AcPr6Ho3 structure (PBE-GGA, the Alexandria database).

Unit cell a=13.5744 b=3.6650 c=14.4401 alpha=90.00 beta=98.39 gamma=90.00
With the nearest neighbours (Å) after each atom.
Space group P2_1/m (No. 11)
Symmetry-distinct sites (fractional):
1 Ac 0.1614 0.2500 0.3800 (multiplicity 2)  8 Pr 3.55-3.85, 2 Ac 3.66, 2 Ho 3.80
2 Pr 0.0164 0.7500 0.1891 (multiplicity 2)  3 Ho 3.33-3.55, 6 Pr 3.45-3.73, 2 Ac 3.64
3 Pr 0.0830 0.2500 0.6039 (multiplicity 2)  3 Pr 3.45-3.66, 3 Ac 3.55-3.83, 2 Ho 3.65
4 Pr 0.2245 0.7500 0.8248 (multiplicity 2)  8 Pr 3.66-3.93, 5 Ho 3.76-3.83
5 Pr 0.2850 0.7500 0.1929 (multiplicity 2)  6 Pr 3.53-3.83, 4 Ho 3.57-3.60, 2 Ac 3.85
6 Pr 0.4287 0.2500 0.4032 (multiplicity 2)  3 Ho 3.51-3.74, 1 Ac 3.59, 8 Pr 3.65-3.83
7 Pr 0.4521 0.2500 0.7830 (multiplicity 2)  7 Pr 3.53-3.80, 5 Ho 3.58-3.81
8 Ho 0.1256 0.2500 0.0194 (multiplicity 2)  5 Pr 3.33-3.57, 3 Ho 3.60-3.66
9 Ho 0.3113 0.7500 0.5843 (multiplicity 2)  8 Pr 3.51-3.83, 2 Ho 3.66, 2 Ac 3.80
10 Ho 0.3903 0.2500 0.0160 (multiplicity 2)  5 Ho 3.58-3.66, 7 Pr 3.58-3.81

Summary:
- spin magnetization (μB per cell) = 0.00

Energetically preferred structure: entry ii | next structure: +0.140 eV/atom